Tb2AlFeO6 | GGA+U | optimized geometry

Total magnetic moment in μB per formula unit: 1.0
E in eV/atom: -7.61
Volume in Å³/atom: 10.7
Crystal system: monoclinic

POSCAR file:
```
Tb2AlFeO6
1.0
5.2502 0.0000 0.0000
0.0000 5.4561 0.0000
-5.2336 0.0000 7.4831
Tb Al Fe O
4 2 2 12
Direct
0.2343 0.0612 0.2499
0.2343 0.4388 0.7499
0.7657 0.5612 0.2501
0.7657 0.9388 0.7501
0.5000 0.0000 0.0000
0.5000 0.5000 0.5000
0.0000 0.0000 0.5000
0.0000 0.5000 0.0000
0.1589 0.2002 0.9530
0.1589 0.2998 0.4530
0.2530 0.7074 0.9509
0.2530 0.7926 0.4509
0.3462 0.0254 0.7537
0.3462 0.4746 0.2537
0.6538 0.5254 0.7463
0.6538 0.9746 0.2463
0.7470 0.2074 0.5491
0.7470 0.2925 0.0491
0.8411 0.7002 0.5470
0.8411 0.7998 0.0470
```